# 1
VASP calculation (GGA-PBE) on a relaxed structure of TlZn2GaAu.

Cell: 4.9670 4.9670 5.0336 Å, 90.00 90.00 90.00°
With the nearest neighbours (Å) after each atom.
Element x y z (fractional)
Zn: 0.5000 0.0000 0.0000  2 Au 2.48
Zn: 0.0000 0.5000 0.0000  2 Au 2.48
Au: 0.0000 0.0000 0.0000  4 Zn 2.48, 2 Ga 2.52
Ga: 0.0000 0.0000 0.5000  2 Au 2.52
Tl: 0.5000 0.5000 0.5000  4 Ga 3.51, 8 Zn 3.54

Results
DOS(E_F) (states/eV/f.u.): 1.689
Raw total energy (eV/atom): -2.16
Mass density (g/cm³): 8.05
Total moment (μB per formula unit): 0.0
SG: P4/mmm, No. 123

# 2
VASP calculation (GGA-PBE) on a relaxed structure of Tc2P2Pd.

Cell: 6.9744 6.9744 2.8824 Å, 90.00 90.00 90.00°
With the nearest neighbours (Å) after each atom.
Element x y z (fractional)
Tc: 0.3569 0.8569 0.0000  6 P 2.49-2.51, 2 Pd 2.68
Tc: 0.8569 0.6431 0.0000  6 P 2.49-2.51, 2 Pd 2.68
Tc: 0.1431 0.3569 0.0000  6 P 2.49-2.51, 2 Pd 2.68
Tc: 0.6431 0.1431 0.0000  6 P 2.49-2.51, 2 Pd 2.68
P: 0.8487 0.3487 0.5000  6 Tc 2.49-2.51
P: 0.1513 0.6513 0.5000  6 Tc 2.49-2.51
P: 0.6513 0.8487 0.5000  6 Tc 2.49-2.51
P: 0.3487 0.1513 0.5000  6 Tc 2.49-2.51
Pd: 0.5000 0.5000 0.0000  4 Tc 2.68, 2 Pd 2.88
Pd: 0.0000 0.0000 0.0000  4 Tc 2.68, 2 Pd 2.88

Results
DOS(E_F) (states/eV/f.u.): 4.070
Raw total energy (eV/atom): -7.55
Mass density (g/cm³): 8.63
Total moment (μB per formula unit): 0.0
Energy relative to the lowest polymorph listed for this composition (meV/atom): 129
SG: P4/mbm, No. 127

# 3
VASP calculation (GGA-PBE) on a relaxed structure of Cs2YCd2Te4.

Cell: 4.5476 9.2757 9.2179 Å, 111.62 104.28 90.00°
With the nearest neighbours (Å) after each atom.
Element x y z (fractional)
Te: 0.5215 0.7834 0.0429  1 Cd 2.88, 2 Y 3.15
Te: 0.4785 0.2166 0.9571  1 Cd 2.88, 2 Y 3.15
Te: 0.8155 0.7970 0.6309  2 Cd 2.95, 1 Y 3.11
Te: 0.1845 0.2030 0.3691  2 Cd 2.95, 1 Y 3.11
Cs: 0.8717 0.4320 0.7434  7 Te 3.88-4.04, 1 Cd 4.10, 1 Cs 4.27
Cs: 0.1283 0.5680 0.2566  7 Te 3.88-4.04, 1 Cd 4.10, 1 Cs 4.27
Y: 0.0000 0.0000 0.0000  6 Te 3.11-3.15
Cd: 0.6872 0.0020 0.3743  3 Te 2.88-2.95, 2 Cd 3.21
Cd: 0.3128 0.9980 0.6257  3 Te 2.88-2.95, 2 Cd 3.21

Results
DOS(E_F) (states/eV/f.u.): 4.552
Raw total energy (eV/atom): -3.41
Mass density (g/cm³): 5.19
Total moment (μB per formula unit): 0.0
SG: C2/m, No. 12
Energy relative to the elements, uncorrected (eV/atom): -0.8991